No. 1
A relaxed structure of Cs6Au2Cl2O, computed with PBE.

POSCAR file:
```
Cs6Au2Cl2O
1.0
8.3667 0.1581 0.1132
-3.9978 7.3515 0.1132
-1.5287 -2.6277 8.3221
Cs Au Cl O
6 2 2 1
Cartesian
2.4323 4.1808 6.0033 Cs
-2.0399 0.8259 5.9421 Cs
0.4079 0.7012 2.5453 Cs
1.7262 -1.3651 5.9421 Cs
4.8801 4.0561 2.6065 Cs
1.1140 6.2471 2.6065 Cs
6.1431 1.4518 0.1132 Au
-1.7742 6.0578 0.1132 Au
-0.5722 3.6000 4.2743 Cl
3.4123 1.2819 4.2743 Cl
-0.7644 -1.3139 4.1611 O
```

Crystal system: monoclinic
Formation energy without anion corrections (eV/atom): -1.0900

***

No. 2
A relaxed structure of BaLiTaSe4, computed with PBE.

POSCAR file:
```
BaLiTaSe4
1.0
6.5471 0.0000 0.0962
0.0000 7.6922 0.0000
-2.4522 0.0000 8.5127
Ba Li Ta Se
2 2 2 8
Cartesian
2.7751 5.7691 7.8590 Ba
1.3198 1.9230 0.7499 Ba
3.7967 5.7691 3.1526 Li
0.2982 1.9230 5.4564 Li
0.5931 5.7691 2.6175 Ta
3.5018 1.9230 5.9915 Ta
-1.5636 3.7981 6.2665 Se
5.6585 7.6442 2.3425 Se
5.6585 3.8941 2.3425 Se
-1.5636 0.0480 6.2665 Se
2.2839 5.7691 0.8876 Se
1.8110 1.9230 7.7213 Se
1.6384 5.7691 4.7579 Se
2.4565 1.9230 3.8511 Se
```

Crystal system: monoclinic
Formation energy without anion corrections (eV/atom): -1.1903
Fermi-level density of states (states/eV/atom): 0.000

***

No. 3
A relaxed structure of LaCeNd14, computed with PBE.

POSCAR file:
```
LaCeNd14
1.0
7.2850 0.9781 0.0000
-0.9767 7.2852 0.0000
0.0000 0.0000 10.4192
La Ce Nd
1 1 14
Cartesian
2.1170 4.9234 0.0000 La
6.2556 1.7640 0.0000 Ce
2.1244 4.9178 5.2096 Nd
6.2494 1.7687 5.2096 Nd
5.7593 5.4030 0.0000 Nd
5.7682 5.4135 5.2096 Nd
2.6145 1.2835 0.0000 Nd
2.6067 1.2722 5.2096 Nd
3.7136 7.0059 7.8255 Nd
3.7136 7.0059 2.5937 Nd
0.5291 2.8344 7.8255 Nd
0.5291 2.8344 2.5937 Nd
0.0344 6.5133 7.8286 Nd
0.0344 6.5133 2.5906 Nd
4.2085 3.3268 7.8219 Nd
4.2085 3.3268 2.5974 Nd
```

Crystal system: orthorhombic
Final energy (eV/cell): -77.11
Fermi-level density of states (states/eV/atom): 1.955

***

No. 4
A relaxed structure of Na5Br2ClO, computed with PBE.

POSCAR file:
```
Na5Br2ClO
1.0
-1.4899 1.5912 3.8785
-5.9024 -3.2265 -0.9437
6.2432 -4.8021 1.8165
Na Br Cl O
5 2 1 1
Cartesian
-4.6666 -2.9978 1.9890 Na
3.5174 -3.4397 2.7623 Na
0.3782 -5.1557 2.2604 Na
-1.5274 -1.2818 2.4909 Na
0.0000 0.0000 0.0000 Na
1.1172 -2.4651 1.4405 Br
-2.2664 -3.9723 3.3109 Br
-2.9512 -1.6133 -0.4719 Cl
-0.7450 0.7956 1.9393 O
```

Crystal system: orthorhombic
Formation energy without anion corrections (eV/atom): -1.4688
Fermi-level density of states (states/eV/atom): 0.000

***

No. 5
A relaxed structure of Ca3BeOs, computed with PBE.

POSCAR file:
```
Ca3BeOs
1.0
5.4331 0.0000 0.0000
0.0000 5.4331 0.0000
0.0000 0.0000 5.4331
Be Ca Os
1 3 1
Cartesian
2.7166 2.7166 2.7166 Be
0.0000 2.7166 0.0000 Ca
0.0000 0.0000 2.7166 Ca
2.7166 0.0000 0.0000 Ca
0.0000 0.0000 0.0000 Os
```

Crystal system: cubic
Final energy (eV/cell): -17.06
Fermi-level density of states (states/eV/atom): 1.091

***

No. 6
A relaxed structure of AcTbNi, computed with PBE.

POSCAR file:
```
AcTbNi
1.0
5.2344 0.5912 -0.1295
-1.7393 4.9722 0.1295
-2.5464 -2.2798 6.4404
Ac Tb Ni
2 2 2
Cartesian
-2.1449 1.3475 5.8830 Ac
3.0935 1.9361 0.5574 Ac
-1.2732 -1.1399 3.2202 Tb
0.4743 1.6418 3.2202 Tb
0.3211 -0.2017 1.1848 Ni
0.6275 3.4853 5.2556 Ni
```

Crystal system: monoclinic
Final energy (eV/cell): -28.67
Fermi-level density of states (states/eV/atom): 0.915

***

No. 7
A relaxed structure of SrYOsO6, computed with PBE.

POSCAR file:
```
SrYOsO6
1.0
-0.6080 -3.3062 -4.4667
3.4846 -1.4744 4.1153
-7.7364 -5.0051 4.7576
Sr Y Os O
2 2 2 12
Cartesian
0.0000 0.0000 0.0000 Sr
-3.8682 -2.5025 2.3788 Sr
0.1863 -3.3362 2.4440 Y
-5.0460 -6.4494 1.9622 Y
-1.1779 -3.9468 -0.4167 Os
-3.6818 -5.8388 4.8229 Os
0.5999 -3.7956 0.2693 O
-0.5063 -4.3868 -2.1513 O
-1.8802 -5.7729 5.4580 O
-4.3534 -5.3988 6.5576 O
-1.7823 -3.5729 1.3578 O
-1.1990 -5.8252 -0.0632 O
-3.6598 -7.6978 5.2668 O
-2.9795 -4.0127 -1.0518 O
-3.6607 -3.9604 4.4695 O
-1.1999 -2.0878 -0.8606 O
-3.0774 -6.2127 3.0484 O
-5.4596 -5.9900 4.1369 O
```

Crystal system: trigonal
Formation energy without anion corrections (eV/atom): -2.1344
Fermi-level density of states (states/eV/atom): 0.525

***

No. 8
A relaxed structure of Sm3TmHg, computed with PBE.

POSCAR file:
```
Sm3TmHg
1.0
0.3833 3.5560 -5.7779
2.6109 -6.2494 -0.5506
-7.6316 -3.6723 2.3979
Sm Tm Hg
6 2 2
Cartesian
1.5747 -3.6269 -4.3994 Sm
0.0644 -2.2684 -1.2075 Sm
-4.7017 -4.0973 -2.7231 Sm
-0.5494 -0.8390 -4.3486 Sm
-6.2120 -2.7388 0.4689 Sm
-4.0879 -5.5267 0.4181 Sm
-5.2392 -0.6767 -2.1908 Tm
0.6019 -5.6890 -1.7397 Tm
-1.5376 -3.9749 -3.4815 Hg
-3.0997 -2.3908 -0.4490 Hg
```

Crystal system: monoclinic
Final energy (eV/cell): -38.88
Fermi-level density of states (states/eV/atom): 0.981

***

No. 9
A relaxed structure of RbNa2PRh, computed with PBE.

POSCAR file:
```
RbNa2PRh
1.0
-2.8862 4.3891 1.7937
-4.4369 -3.2406 0.7901
1.3465 -0.8238 4.1825
P Rh Rb Na
1 1 1 2
Cartesian
0.6732 -0.4119 2.0912 P
0.0000 0.0000 0.0000 Rh
-2.9883 0.1623 3.3832 Rb
-2.2185 -1.6203 0.3951 Na
-1.4431 2.1945 0.8969 Na
```

Crystal system: tetragonal
Final energy (eV/cell): -17.33
Fermi-level density of states (states/eV/atom): 0.458

***

No. 10
A relaxed structure of Cs8TeI3Br3, computed with PBE.

POSCAR file:
```
Cs8TeI3Br3
1.0
10.7660 0.0000 0.0000
-5.3830 9.3247 -0.0305
0.0000 -6.1828 9.0569
Cs Te I Br
8 1 3 3
Cartesian
0.0000 3.1172 2.3921 Cs
5.3830 0.0247 6.6344 Cs
5.3830 3.2319 2.4841 Cs
0.0000 -0.0900 6.5424 Cs
8.1738 -1.6019 2.5012 Cs
-2.7908 4.7438 6.5253 Cs
2.5922 -1.6019 2.5012 Cs
2.7908 4.7438 6.5253 Cs
0.0000 -3.0914 4.5285 Te
0.0000 0.0000 0.0000 I
-2.6915 4.6623 -0.0152 I
2.6915 4.6623 -0.0152 I
5.3830 -3.0914 4.5285 Br
2.6915 1.5709 4.5132 Br
-2.6915 1.5709 4.5132 Br
```

Crystal system: trigonal
Formation energy without anion corrections (eV/atom): -1.5066

***

No. 11
A relaxed structure of LiTmGa2Pt2, computed with PBE.

POSCAR file:
```
LiTmGa2Pt2
1.0
4.3770 0.0000 0.0000
-2.1885 3.7906 0.0000
0.0000 0.0000 6.3043
Li Tm Ga Pt
1 1 2 2
Cartesian
0.0000 0.0000 0.0000 Li
0.0000 0.0000 3.1522 Tm
0.0000 2.5271 5.1039 Ga
2.1885 1.2635 1.2004 Ga
0.0000 2.5271 1.4574 Pt
2.1885 1.2635 4.8469 Pt
```

Crystal system: trigonal
Final energy (eV/cell): -30.04
Fermi-level density of states (states/eV/atom): 0.563

***

No. 12
A relaxed structure of Li3AcIn3, computed with PBE.

POSCAR file:
```
Li3AcIn3
1.0
4.8826 0.0000 0.0000
0.0000 6.3725 -3.3898
0.0000 1.9205 10.1191
Li Ac In
6 2 6
Cartesian
3.6620 5.1783 -1.8401 Li
3.6620 2.9318 2.2049 Li
3.6620 7.5717 5.3779 Li
1.2207 3.1147 8.5694 Li
1.2207 5.3612 4.5244 Li
1.2207 0.7213 1.3514 Li
3.6620 3.6108 5.9798 Ac
1.2207 4.6822 0.7495 Ac
3.6620 7.0297 0.3171 In
3.6620 2.4391 -0.6742 In
3.6620 5.8004 3.0977 In
1.2207 1.2633 6.4122 In
1.2207 5.8539 7.4035 In
1.2207 2.4926 3.6316 In
```

Crystal system: monoclinic
Final energy (eV/cell): -40.38
Fermi-level density of states (states/eV/atom): 0.494

***

No. 13
A relaxed structure of Tl2PtPb, computed with PBE.

POSCAR file:
```
Tl2PtPb
1.0
-0.3001 -1.2978 3.5900
4.9077 -3.1172 -0.7166
5.2961 2.2772 1.2660
Pb Pt Tl
1 1 2
Cartesian
2.4009 -0.8589 1.9323 Pb
7.5028 -1.2789 2.2070 Pt
9.6653 -0.7910 0.5220 Tl
5.6405 -0.4690 0.3020 Tl
```

Crystal system: monoclinic
Final energy (eV/cell): -14.38
Fermi-level density of states (states/eV/atom): 0.392

***

No. 14
A relaxed structure of La3Nd3Er8, computed with PBE.

POSCAR file:
```
La3Nd3Er8
1.0
-1.0331 -2.8805 4.8042
8.2588 0.2087 5.2841
-6.1417 5.4697 5.3417
La Nd Er
3 3 8
Cartesian
-0.5166 -1.4403 2.4021 La
5.5429 1.2009 5.2949 La
-3.4258 4.4775 5.3309 La
0.5420 1.3990 7.7150 Nd
-0.4088 -1.1842 5.9648 Nd
1.4927 3.9822 9.4653 Nd
-3.1304 1.1666 6.7864 Er
4.2143 1.6313 8.6437 Er
3.1931 -1.1435 6.7611 Er
-2.1091 3.9414 8.6690 Er
1.9971 0.7860 11.0367 Er
-0.9131 2.0119 4.3934 Er
-0.9421 1.8598 11.0484 Er
2.0260 0.9381 4.3816 Er
```

Crystal system: monoclinic
Final energy (eV/cell): -64.14
Fermi-level density of states (states/eV/atom): 1.575

***

No. 15
A relaxed structure of KCoCuCl5, computed with PBE.

POSCAR file:
```
KCoCuCl5
1.0
7.3099 0.2861 0.3675
-1.8602 7.0750 0.3675
-1.8517 -2.5012 7.8821
K Co Cu Cl
2 2 2 10
Cartesian
0.9462 4.0293 2.3380 K
2.6518 0.8306 6.2791 K
4.1522 1.6558 2.3380 Co
-0.5542 3.2041 6.2791 Co
-0.9259 -1.2506 3.9411 Cu
0.0000 0.0000 0.0000 Cu
-1.6324 5.9384 2.3380 Cl
5.2304 -1.0784 6.2791 Cl
6.1203 2.1195 1.3734 Cl
-2.5223 2.7405 7.2438 Cl
4.2833 -0.3619 3.3027 Cl
-0.6853 5.2218 5.3144 Cl
3.6311 3.1080 3.9190 Cl
-0.0331 1.7520 4.6981 Cl
2.6112 1.7304 0.7571 Cl
0.9868 3.1296 7.8601 Cl
```

Crystal system: monoclinic
Formation energy without anion corrections (eV/atom): -0.9084
Fermi-level density of states (states/eV/atom): 0.586

***

No. 16
A relaxed structure of TiFeIr6, computed with PBE.

POSCAR file:
```
TiFeIr6
1.0
-2.7621 2.2352 -1.4684
-3.5400 -1.9693 3.6611
1.3751 3.9816 3.4742
Ti Fe Ir
1 1 6
Cartesian
-1.3810 1.1176 -0.7342 Ti
-2.4635 2.1237 2.8335 Fe
-2.2960 -0.4631 3.6138 Ir
0.1311 2.4754 3.5215 Ir
-1.6170 1.5030 5.3294 Ir
-0.5479 0.5093 1.8059 Ir
-3.1511 0.1329 1.0964 Ir
-0.6935 3.1084 1.0029 Ir
```

Crystal system: tetragonal
Final energy (eV/cell): -72.50
Fermi-level density of states (states/eV/atom): 0.899

***

No. 17
A relaxed structure of CsSmRhCl6, computed with PBE.

POSCAR file:
```
CsSmRhCl6
1.0
6.5907 -0.1461 -0.1133
3.1698 5.7786 0.1120
-0.1299 0.2337 8.0711
Cs Sm Rh Cl
1 1 1 6
Cartesian
0.0285 0.3255 8.0706 Cs
6.5876 3.9553 4.0345 Sm
3.1739 1.9865 4.0351 Rh
1.1938 2.1110 2.6833 Cl
2.2912 0.2091 5.3860 Cl
5.1322 2.0213 5.3891 Cl
1.9647 3.7226 5.8912 Cl
4.1845 3.6636 2.6801 Cl
4.0744 0.0714 2.1809 Cl
```

Crystal system: monoclinic
Formation energy without anion corrections (eV/atom): -1.5725

***

No. 18
A relaxed structure of TiCrGe2P, computed with PBE.

POSCAR file:
```
TiCrGe2P
1.0
-1.5488 4.0160 1.8231
-2.1122 -2.1737 2.9937
3.7524 0.1845 2.7814
Cr Ge P Ti
1 2 1 1
Cartesian
0.0000 0.0000 0.0000 Cr
1.8762 0.0922 1.3907 Ge
-0.7744 2.0080 0.9116 Ge
-1.0561 -1.0868 1.4969 P
0.0457 1.0134 3.7991 Ti
```

Crystal system: tetragonal
Final energy (eV/cell): -29.57
Fermi-level density of states (states/eV/atom): 1.749